(1)
## LiLaRu2Br (PBE)

Data for LiLaRu2Br after structural relaxation.

Unit cell a=4.7788 b=4.7788 c=4.4392 alpha=90.00 beta=90.00 gamma=90.00
With the nearest neighbours (Å) after each atom.
Element x y z (fractional)
Li 0.0000 0.0000 0.0000  2 Br 2.22
La 0.5000 0.5000 0.0000  8 Ru 3.26, 4 Li 3.38
Ru 0.0000 0.5000 0.5000  2 Br 2.39
Ru 0.5000 0.0000 0.5000  2 Br 2.39
Br 0.0000 0.0000 0.5000  2 Li 2.22, 4 Ru 2.39

Computed properties:
DOS(E_F) ... 2.68 states/eV/f.u.
Crystal system ... tetragonal
Raw formation energy ... 35 kJ/mol of atoms

=====

(2)
## Cr2SiSb (PBE)

Data for Cr2SiSb after structural relaxation.

Unit cell a=4.2589 b=4.2589 c=16.9977 alpha=90.00 beta=90.00 gamma=90.00
With the nearest neighbours (Å) after each atom.
Element x y z (fractional)
Cr 0.2268 0.2500 0.1250  2 Si 2.57, 2 Sb 2.65
Cr 0.2500 0.7268 0.3750  2 Si 2.57, 2 Sb 2.65
Cr 0.2500 0.7732 0.8750  2 Si 2.57, 2 Sb 2.65
Cr 0.2732 0.2500 0.6250  2 Si 2.57, 2 Sb 2.65
Cr 0.7268 0.7500 0.6250  2 Si 2.57, 2 Sb 2.65
Cr 0.7500 0.2268 0.8750  2 Si 2.57, 2 Sb 2.65
Cr 0.7500 0.2732 0.3750  2 Si 2.57, 2 Sb 2.65
Cr 0.7732 0.7500 0.1250  2 Si 2.57, 2 Sb 2.65
Si 0.0000 0.0000 0.0000  4 Cr 2.57
Si 0.0000 0.5000 0.2500  4 Cr 2.57
Si 0.5000 0.0000 0.7500  4 Cr 2.57
Si 0.5000 0.5000 0.5000  4 Cr 2.57
Sb 0.0000 0.0000 0.5000  4 Cr 2.65
Sb 0.0000 0.5000 0.7500  4 Cr 2.65
Sb 0.5000 0.0000 0.2500  4 Cr 2.65
Sb 0.5000 0.5000 0.0000  4 Cr 2.65

Computed properties:
DOS(E_F) ... 2.74 states/eV/f.u.
Crystal system ... tetragonal
Raw formation energy ... 56 kJ/mol of atoms
Offset from the most stable computed form ... 419.9 meV per atom

=====

| no. | total DFT energy (no corrections) (eV/atom) |
| --- | --- |
| 1 | -5.054 |
| 2 | -6.617 |